# 1
Ca3In2Sn4: optimized geometry, PBE.

The calculation puts the theoretical density at 5.252 g cm⁻³. The formation energy comes out at -0.42 eV/atom.

It has space group P-1 (No. 2), with a = 4.660 Å, b = 7.200 Å, c = 8.693 Å, α = 111.05°, β = 105.52° and γ = 90.02°. The asymmetric unit holds Ca at (0.000, 0.000, 0.000), Ca at (0.129, 0.618, 0.257), In at (0.333, 0.012, 0.668), Sn at (0.214, 0.267, 0.427) and Sn at (0.486, 0.686, 0.971).


# 2
Ca2InSn: optimized geometry, PBE.

The calculation puts the theoretical density at 3.865 g cm⁻³. The formation energy comes out at -0.10 eV/atom. The value obtained for the energy above the most stable polymorph in this dataset is 456.3 meV/atom.

It has space group I-42d (No. 122), with a = 5.003 Å, b = 5.003 Å, c = 21.531 Å, α = 90.00°, β = 90.00° and γ = 90.00°. The asymmetric unit holds Ca at (0.246, 0.250, 0.125), In at (0.000, 0.000, 0.500) and Sn at (0.000, 0.000, 0.000).


# 3
CaIn3Sn: optimized geometry, PBE.

The calculation puts the theoretical density at 4.876 g cm⁻³. The formation energy comes out at 0.05 eV/atom. The value obtained for the energy above the most stable polymorph in this dataset is 273.0 meV/atom.

It has space group R3m (No. 160, hexagonal axes), with a = 6.0394 Å, b = 6.0394 Å, c = 16.2763 Å, α = 90.00°, β = 90.00° and γ = 120.00°. The asymmetric unit holds Ca at (0.0000, 0.0000, 0.0000), In at (0.0018, 0.5009, 0.4981) and Sn at (0.0000, 0.0000, 0.6431).